## PuSi2Os2 (GGA-PBE)

Data for an optimized crystal structure of PuSi2Os2.

```
PuSi2Os2
1.0
-2.069 2.069 4.931
2.069 -2.069 4.931
2.069 2.069 -4.931
Pu Si Os
1 2 2
direct
0.000 0.000 0.000
0.374 0.374 0.000
0.626 0.626 0.000
0.250 0.750 0.500
0.750 0.250 0.500
```

## Properties
DFT total energy = -10.068 eV per atom
N(E_F) = 2.770 states/eV/atom